Compound: PrMn2VN4
Source: Alexandria
Functional: PBE
Structure: relaxed

a = 6.1134 Å, b = 6.1134 Å, c = 9.9663 Å
α = 90.00°, β = 90.00°, γ = 149.12°
Element x y z (fractional)
Pr: 0.0691 0.9309 0.7500
Pr: 0.9309 0.0691 0.2500
Mn: 0.3932 0.6068 0.5375
Mn: 0.3932 0.6068 0.9625
Mn: 0.6068 0.3932 0.0375
Mn: 0.6068 0.3932 0.4625
V: 0.2009 0.7991 0.2500
V: 0.7991 0.2009 0.7500
N: 0.0000 0.0000 0.0000
N: 0.0000 0.0000 0.5000
N: 0.2976 0.7024 0.1145
N: 0.2976 0.7024 0.3855
N: 0.3938 0.6062 0.7500
N: 0.6062 0.3938 0.2500
N: 0.7024 0.2976 0.6145
N: 0.7024 0.2976 0.8855

Values from the calculation:
- Raw formation energy: -0.56 eV per atom